This record from Alexandria describes EuPuHg after structural relaxation. The functional is PBE-GGA.

It has space group P3m1 (No. 156), with a = 5.3791 Å, b = 5.3791 Å, c = 3.4334 Å, α = 90.00°, β = 90.00° and γ = 120.00°. The asymmetric unit holds Eu at (0.0000, 0.0000, 0.0000), Pu at (0.3333, 0.6667, 0.3881) and Hg at (0.6667, 0.3333, 0.6592).

The final energy is -24.85 eV/cell. The energy above the lowest structure with this stoichiometry comes out at 117.5 meV per atom. For the formation energy, the calculation gives 6 kJ/mol of formula units.

=====

This record from Alexandria describes EuPuHg after structural relaxation. The functional is PBE-GGA.

It has space group I4mm (No. 107), with a = 3.746 Å, b = 3.746 Å, c = 12.917 Å, α = 90.00°, β = 90.00° and γ = 90.00°. The asymmetric unit holds Eu at (0.000, 0.000, 0.000), Pu at (0.000, 0.000, 0.301) and Hg at (0.000, 0.000, 0.656).

The final energy is -50.40 eV/cell. The energy above the lowest structure with this stoichiometry comes out at 0.0 meV per atom. For the formation energy, the calculation gives -28 kJ/mol of formula units.

=====

This record from Alexandria describes EuPuSnHg after structural relaxation. The functional is PBE-GGA.

It has space group F-43m (No. 216), with a = 7.712 Å, b = 7.712 Å, c = 7.712 Å, α = 90.00°, β = 90.00° and γ = 90.00°. The asymmetric unit holds Eu at (0.000, 0.000, 0.000), Pu at (0.000, 0.000, 0.500), Sn at (0.250, 0.250, 0.250) and Hg at (0.250, 0.250, 0.750).

The final energy is -122.25 eV/cell. For the formation energy, the calculation gives -159 kJ/mol of formula units.

=====

This record from Alexandria describes Rb2EuHg after structural relaxation. The functional is PBE-GGA.

It has space group R-3m (No. 166, hexagonal axes), with a = 4.2746 Å, b = 4.2746 Å, c = 41.6037 Å, α = 90.00°, β = 90.00° and γ = 120.00°. The asymmetric unit holds Rb at (0.0000, 0.0000, 0.1002), Eu at (0.0000, 0.0000, 0.0000) and Hg at (0.0000, 0.0000, 0.5000).

The final energy is -36.20 eV/cell. For the formation energy, the calculation gives 43 kJ/mol of formula units.

=====

| no. | magnetization (μB/cell) |
| --- | --- |
| 1 | 13.559 |
| 2 | 27.709 |
| 3 | 52.068 |
| 4 | 22.517 |